(1)
The following is a DFT calculation (GGA-PBE) of a geometry-optimized Rb2PrHoTe4 structure.

Energy: -4.37 eV/atom
Formation energy from raw total energies: -1.39 eV/atom

a = 7.9646 Å, b = 4.5956 Å, c = 8.9685 Å
α = 90.00°, β = 107.20°, γ = 90.00°
Sites, in units of the cell vectors:
Rb  0.0000  0.0000  0.0000
Rb  0.5000  0.5000  0.0000
Pr  0.0000  0.5000  0.5000
Ho  0.5000  0.0000  0.5000
Te  0.2440  0.0000  0.7043
Te  0.2756  0.5000  0.3000
Te  0.7244  0.5000  0.7000
Te  0.7560  0.0000  0.2957



(2)
The following is a DFT calculation (GGA-PBE) of a geometry-optimized PrHo2Re structure.

Energy: -6.29 eV/atom
Formation energy: 0.306 eV/atom

a = 10.6743 Å, b = 10.6743 Å, c = 10.6743 Å
α = 18.67°, β = 18.67°, γ = 18.67°
Sites, in units of the cell vectors:
Pr  0.0000  0.0000  0.0000
Ho  0.2317  0.2317  0.2317
Ho  0.7683  0.7683  0.7683
Re  0.5000  0.5000  0.5000



(3)
The following is a DFT calculation (GGA-PBE) of a geometry-optimized Pr2HoRe structure.

Energy: -6.20 eV/atom
Formation energy: 0.445 eV/atom

a = 5.1520 Å, b = 5.1520 Å, c = 5.1520 Å
α = 63.83°, β = 63.83°, γ = 63.83°
Sites, in units of the cell vectors:
Pr  0.2419  0.2419  0.2419
Pr  0.7581  0.7581  0.7581
Ho  0.5000  0.5000  0.5000
Re  0.0000  0.0000  0.0000



Question: Which of these has the lowest energy?
Answer: PrHo2Re